# 1
# PBEsol AlTlBr4, optimized geometry
data_AlTlBr4
_space_group_name_H-M_alt 'P 1'
_space_group_IT_number 1
_cell_length_a 7.423
_cell_length_b 8.568
_cell_length_c 13.105
_cell_angle_alpha 105.36
_cell_angle_beta 90.00
_cell_angle_gamma 90.00
loop_
_space_group_symop_operation_xyz
'x,y,z'
loop_
_atom_site_label
_atom_site_type_symbol
_atom_site_fract_x
_atom_site_fract_y
_atom_site_fract_z
Al1 Al 0.786 0.712 0.950
Al2 Al 0.786 0.288 0.550
Al3 Al 0.214 0.288 0.050
Al4 Al 0.214 0.712 0.450
Br1 Br 0.578 0.849 0.874
Br2 Br 0.578 0.151 0.626
Br3 Br 0.422 0.151 0.126
Br4 Br 0.422 0.849 0.374
Br5 Br 0.073 0.780 0.907
Br6 Br 0.073 0.220 0.593
Br7 Br 0.927 0.220 0.093
Br8 Br 0.927 0.780 0.407
Br9 Br 0.750 0.793 0.133
Br10 Br 0.750 0.207 0.367
Br11 Br 0.250 0.207 0.867
Br12 Br 0.250 0.793 0.633
Br13 Br 0.730 0.438 0.892
Br14 Br 0.730 0.562 0.608
Br15 Br 0.270 0.562 0.108
Br16 Br 0.270 0.438 0.392
Tl1 Tl 0.379 0.500 0.750
Tl2 Tl 0.621 0.500 0.250
Tl3 Tl 0.905 0.000 0.750
Tl4 Tl 0.095 0.000 0.250
# **Density**: 4.55 Mg/m³
# **Uncorrected energy**: -81.3 eV for the cell shown
# **SG**: P2/c (13)
# **Formation energy (no corrections)**: -6.13 eV/f.u.

***

# 2
# PBEsol LiLaTa2, optimized geometry
data_LiLaTa2
_space_group_name_H-M_alt 'P 1'
_space_group_IT_number 1
_cell_length_a 2.971
_cell_length_b 2.971
_cell_length_c 10.424
_cell_angle_alpha 90.00
_cell_angle_beta 90.00
_cell_angle_gamma 113.61
loop_
_space_group_symop_operation_xyz
'x,y,z'
loop_
_atom_site_label
_atom_site_type_symbol
_atom_site_fract_x
_atom_site_fract_y
_atom_site_fract_z
La1 La 0.000 0.000 0.515
Li1 Li 0.500 0.500 0.219
Ta1 Ta 0.000 0.000 0.986
Ta2 Ta 0.500 0.500 0.780
# **Density**: 10.00 Mg/m³
# **Offset from the most stable computed form**: 0.0 meV/atom
# **Uncorrected energy**: -31.0 eV for the cell shown
# **SG**: Cmm2 (35)
# **Formation energy from the elements**: 0.3440 eV/atom

***

# 3
# PBEsol CuHg2As2, optimized geometry
data_CuHg2As2
_space_group_name_H-M_alt 'P 1'
_space_group_IT_number 1
_cell_length_a 5.530
_cell_length_b 6.163
_cell_length_c 6.163
_cell_angle_alpha 90.00
_cell_angle_beta 90.00
_cell_angle_gamma 90.00
loop_
_space_group_symop_operation_xyz
'x,y,z'
loop_
_atom_site_label
_atom_site_type_symbol
_atom_site_fract_x
_atom_site_fract_y
_atom_site_fract_z
As1 As 0.000 0.356 0.856
As2 As 0.000 0.856 0.644
As3 As 0.000 0.644 0.144
As4 As 0.000 0.144 0.356
Hg1 Hg 0.500 0.322 0.822
Hg2 Hg 0.500 0.822 0.678
Hg3 Hg 0.500 0.678 0.178
Hg4 Hg 0.500 0.178 0.322
Cu1 Cu 0.000 0.000 0.000
Cu2 Cu 0.000 0.500 0.500
# **Density**: 9.72 Mg/m³
# **Uncorrected energy**: -30.5 eV for the cell shown
# **SG**: P4/mbm (127)
# **Formation energy from the elements**: 0.0885 eV/atom

***

> Among the records above, which one has the lowest density?

AlTlBr4